# 1
{"formula": "Y2ZrSc", "functional": "PBE-GGA", "state": "relaxed", "cell": [[5.828, -0.002, -0.009], [4.852, 3.229, -0.009], [0.949, 0.287, 5.818]], "species": ["Y", "Sc", "Y", "Zr"], "fractional_positions": [[0.501, 0.501, 0.495], [0.750, 0.750, 0.750], [0.999, 0.999, 0.005], [0.250, 0.250, 0.250]], "rho_g_cm3": 4.76, "dft_energy_ev_per_atom": -6.8443, "n_ef_per_ev_cell": 6.26, "de_polymorph_ev_per_atom": 0.060, "delta_e_f_ev_per_atom": 0.11, "m_tot_mub_per_fu": 0.00}

***

# 2
{"formula": "Y2ZrSc", "functional": "PBE-GGA", "state": "relaxed", "cell": [[11.293, 0.015, 0.009], [10.781, 3.361, 0.009], [10.781, 1.649, 2.929]], "species": ["Y", "Zr", "Sc", "Y"], "fractional_positions": [[0.998, 0.998, 0.998], [0.250, 0.250, 0.250], [0.750, 0.750, 0.750], [0.502, 0.502, 0.502]], "rho_g_cm3": 4.72, "dft_energy_ev_per_atom": -6.8487, "n_ef_per_ev_cell": 6.05, "de_polymorph_ev_per_atom": 0.056, "delta_e_f_ev_per_atom": 0.10, "m_tot_mub_per_fu": 0.00}

***

# 3
{"formula": "YZr3Sc", "functional": "PBE-GGA", "state": "relaxed", "cell": [[-1.414, -4.955, 0.123], [2.968, -0.948, -4.105], [3.969, -1.056, 3.114]], "species": ["Zr", "Sc", "Zr", "Y", "Zr"], "fractional_positions": [[0.000, 0.000, 0.500], [0.000, 0.000, 0.000], [0.500, 0.000, 0.000], [0.500, 0.500, 0.500], [0.000, 0.500, 0.000]], "rho_g_cm3": 4.94, "dft_energy_ev_per_atom": -6.8482, "n_ef_per_ev_cell": 11.06, "de_polymorph_ev_per_atom": 0.000, "delta_e_f_ev_per_atom": 0.84, "m_tot_mub_per_fu": 1.65}